# ZrTcAs2 | the Alexandria database | PBE | optimized geometry
# - Formation energy: -0.35 eV per atom
# - Energy above the lowest structure with this stoichiometry: 23.3 kJ per mole of atoms
# - V: 17.93 Å³ per atom
# - Spin magnetization: 0.0 μB per formula unit
data_ZrTcAs2
_cell_length_a 3.1676
_cell_length_b 4.7368
_cell_length_c 5.0314
_cell_angle_alpha 90.00
_cell_angle_beta 108.15
_cell_angle_gamma 90.00
_symmetry_space_group_name_H-M 'P 1'
_symmetry_Int_Tables_number 1
_symmetry_space_group_name_Hall 'P 1'
loop_
_atom_site_label
_atom_site_type_symbol
_atom_site_fract_x
_atom_site_fract_y
_atom_site_fract_z
Zr1 Zr 0.0000 0.0000 0.0000
Tc1 Tc 0.3364 0.5000 0.6706
As1 As 0.2754 0.0000 0.5460
As2 As 0.6089 0.5000 0.2152


# Zr2TcAs | the Alexandria database | PBE | optimized geometry
# - Formation energy: -0.39 eV per atom
# - V: 18.93 Å³ per atom
# - Spin magnetization: 0.0 μB per formula unit
data_Zr2TcAs
_cell_length_a 3.1181
_cell_length_b 3.1181
_cell_length_c 8.2439
_cell_angle_alpha 90.00
_cell_angle_beta 90.00
_cell_angle_gamma 109.14
_symmetry_space_group_name_H-M 'P 1'
_symmetry_Int_Tables_number 1
_symmetry_space_group_name_Hall 'P 1'
loop_
_atom_site_label
_atom_site_type_symbol
_atom_site_fract_x
_atom_site_fract_y
_atom_site_fract_z
Zr1 Zr 0.0000 0.0000 0.2460
Zr2 Zr 0.0000 0.0000 0.7540
Tc1 Tc 0.5000 0.5000 0.0000
As1 As 0.5000 0.5000 0.5000


# ZrTc2As | the Alexandria database | PBE | optimized geometry
# - Formation energy: -0.18 eV per atom
# - V: 16.46 Å³ per atom
# - Spin magnetization: 0.0 μB per formula unit
data_ZrTc2As
_cell_length_a 3.0704
_cell_length_b 4.1193
_cell_length_c 5.2056
_cell_angle_alpha 90.00
_cell_angle_beta 90.00
_cell_angle_gamma 90.00
_symmetry_space_group_name_H-M 'P 1'
_symmetry_Int_Tables_number 1
_symmetry_space_group_name_Hall 'P 1'
loop_
_atom_site_label
_atom_site_type_symbol
_atom_site_fract_x
_atom_site_fract_y
_atom_site_fract_z
Zr1 Zr 0.0000 0.0000 0.0000
Tc1 Tc 0.0000 0.0000 0.5060
Tc2 Tc 0.5000 0.5000 0.7280
As1 As 0.5000 0.5000 0.2555


# ZrTc2As | the Alexandria database | PBE | optimized geometry
# - Formation energy: 0.09 eV per atom
# - V: 16.82 Å³ per atom
# - Spin magnetization: 0.0 μB per formula unit
data_ZrTc2As
_cell_length_a 9.0140
_cell_length_b 9.0140
_cell_length_c 9.0140
_cell_angle_alpha 18.92
_cell_angle_beta 18.92
_cell_angle_gamma 18.92
_symmetry_space_group_name_H-M 'P 1'
_symmetry_Int_Tables_number 1
_symmetry_space_group_name_Hall 'P 1'
loop_
_atom_site_label
_atom_site_type_symbol
_atom_site_fract_x
_atom_site_fract_y
_atom_site_fract_z
Zr1 Zr 0.0000 0.0000 0.0000
Tc1 Tc 0.5018 0.5018 0.5018
Tc2 Tc 0.7593 0.7593 0.7593
As1 As 0.2427 0.2427 0.2427


What did the fourth record say?
# ZrTc2As | the Alexandria database | PBE | optimized geometry
# - Formation energy: 0.09 eV per atom
# - V: 16.82 Å³ per atom
# - Spin magnetization: 0.0 μB per formula unit
data_ZrTc2As
_cell_length_a 9.0140
_cell_length_b 9.0140
_cell_length_c 9.0140
_cell_angle_alpha 18.92
_cell_angle_beta 18.92
_cell_angle_gamma 18.92
_symmetry_space_group_name_H-M 'P 1'
_symmetry_Int_Tables_number 1
_symmetry_space_group_name_Hall 'P 1'
loop_
_atom_site_label
_atom_site_type_symbol
_atom_site_fract_x
_atom_site_fract_y
_atom_site_fract_z
Zr1 Zr 0.0000 0.0000 0.0000
Tc1 Tc 0.5018 0.5018 0.5018
Tc2 Tc 0.7593 0.7593 0.7593
As1 As 0.2427 0.2427 0.2427


Copy entry 4 word for word.
# ZrTc2As | the Alexandria database | PBE | optimized geometry
# - Formation energy: 0.09 eV per atom
# - V: 16.82 Å³ per atom
# - Spin magnetization: 0.0 μB per formula unit
data_ZrTc2As
_cell_length_a 9.0140
_cell_length_b 9.0140
_cell_length_c 9.0140
_cell_angle_alpha 18.92
_cell_angle_beta 18.92
_cell_angle_gamma 18.92
_symmetry_space_group_name_H-M 'P 1'
_symmetry_Int_Tables_number 1
_symmetry_space_group_name_Hall 'P 1'
loop_
_atom_site_label
_atom_site_type_symbol
_atom_site_fract_x
_atom_site_fract_y
_atom_site_fract_z
Zr1 Zr 0.0000 0.0000 0.0000
Tc1 Tc 0.5018 0.5018 0.5018
Tc2 Tc 0.7593 0.7593 0.7593
As1 As 0.2427 0.2427 0.2427